No. 1
# SrPrRe PBE relaxed
# - total magnetic moment (μB per formula unit) = 0.228
# - volume (Å³ per atom) = 29.24
# - space-group type = No. 216
# - energy (eV per atom) = -4.83
data_SrPrRe
_chemical_formula_sum 'Sr1 Pr1 Re1'
_space_group_name_H-M_alt 'P 1'
_space_group_IT_number 1
_cell_length_a 4.9874
_cell_length_b 4.9874
_cell_length_c 4.9874
_cell_angle_alpha 60.00
_cell_angle_beta 60.00
_cell_angle_gamma 60.00
loop_
_space_group_symop_operation_xyz
'x,y,z'
loop_
_atom_site_label
_atom_site_type_symbol
_atom_site_fract_x
_atom_site_fract_y
_atom_site_fract_z
Sr1 Sr 0.0000 0.0000 0.0000
Pr1 Pr 0.7500 0.7500 0.7500
Re1 Re 0.5000 0.5000 0.5000

=====

No. 2
# Tb2HoTl3CuNi2 PBE relaxed
# - total magnetic moment (μB per formula unit) = 0.010
# - volume (Å³ per atom) = 21.04
# - space-group type = No. 38
# - energy (eV per atom) = -4.31
data_Tb2HoTl3CuNi2
_chemical_formula_sum 'Tb2 Ho1 Tl3 Cu1 Ni2'
_space_group_name_H-M_alt 'P 1'
_space_group_IT_number 1
_cell_length_a 3.8089
_cell_length_b 7.5752
_cell_length_c 7.5752
_cell_angle_alpha 119.97
_cell_angle_beta 90.00
_cell_angle_gamma 90.00
loop_
_space_group_symop_operation_xyz
'x,y,z'
loop_
_atom_site_label
_atom_site_type_symbol
_atom_site_fract_x
_atom_site_fract_y
_atom_site_fract_z
Tb1 Tb 0.0000 0.2050 0.7950
Tb2 Tb 0.0000 0.7950 0.2050
Ho1 Ho 0.0000 0.3846 0.3846
Tl1 Tl 0.5000 0.0590 0.0590
Tl2 Tl 0.5000 0.5312 0.7940
Tl3 Tl 0.5000 0.7940 0.5312
Cu1 Cu 0.0000 0.7942 0.7942
Ni1 Ni 0.5000 0.1290 0.4608
Ni2 Ni 0.5000 0.4608 0.1290